LiSi | PBE | relaxed

Output
Raw formation energy in eV per atom: -0.13
Magnetic moment in μB/f.u.: 0.00
Total energy in eV/atom: -3.79

abc: 3.7923 6.9144 9.5926
angles: 90.00 90.00 90.00
Atoms (fractional coordinates):
Si (0.7500, 0.7257, 0.8524)
Si (0.7500, 0.0783, 0.2051)
Si (0.2500, 0.2743, 0.1476)
Si (0.7500, 0.4217, 0.7051)
Si (0.2500, 0.2257, 0.6476)
Si (0.2500, 0.9217, 0.7949)
Si (0.7500, 0.7743, 0.3524)
Si (0.2500, 0.5783, 0.2949)
Li (0.7500, 0.3598, 0.4299)
Li (0.2500, 0.0567, 0.3964)
Li (0.7500, 0.1402, 0.9299)
Li (0.7500, 0.9433, 0.6036)
Li (0.2500, 0.8598, 0.0701)
Li (0.2500, 0.6402, 0.5701)
Li (0.7500, 0.5567, 0.1036)
Li (0.2500, 0.4433, 0.8964)

AlCoAu2 | PBE | relaxed

Output
Magnetic moment in μB/f.u.: 1.16
Total energy in eV/atom: -4.38
ΔE_f in eV per atom: -0.0250

abc: 4.4424 4.4424 4.4424
angles: 60.00 60.00 60.00
Last column: magnetic moment on the atom in μB.
Atoms (fractional coordinates):
Au (0.0000, 0.0000, 0.0000)  -0.01
Au (0.2500, 0.2500, 0.2500)  0.01
Co (0.7500, 0.7500, 0.7500)  1.24
Al (0.5000, 0.5000, 0.5000)  -0.02